A plane-wave DFT calculation with PBE+U was carried out for an optimized crystal structure of Mn2HgF.

POSCAR file:
```
Mn2HgF
1.0
-3.371 3.371 3.354
3.371 -3.371 3.354
3.371 3.371 -3.354
Mn Hg F
4 2 2
Direct
0.056 0.625 0.931
0.375 0.306 0.431
0.694 0.125 0.069
0.875 0.944 0.569
0.250 0.750 0.500
0.500 0.500 0.000
0.000 0.000 0.000
0.750 0.250 0.500
```

Values from the calculation:
* total magnetization: 9.497 μB per formula unit
* final energy: -4.785 eV/atom
* SG: I-42d, No. 122


A plane-wave DFT calculation with PBE+U was carried out for an optimized crystal structure of MnHgF3.

POSCAR file:
```
MnHgF3
1.0
4.233 0.000 0.000
0.000 4.233 0.000
0.000 0.000 4.233
Mn Hg F
1 1 3
Direct
0.000 0.000 0.000
0.500 0.500 0.500
0.000 0.000 0.500
0.000 0.500 0.000
0.500 0.000 0.000
```

Values from the calculation:
* total magnetization: 4.648 μB per formula unit
* final energy: -4.567 eV/atom
* SG: Pm-3m, No. 221


A plane-wave DFT calculation with PBE+U was carried out for an optimized crystal structure of MnHgF4.

POSCAR file:
```
MnHgF4
1.0
6.181 0.000 0.000
0.000 5.183 0.000
-1.979 0.000 5.785
Mn Hg F
2 2 8
Direct
0.000 0.000 0.000
0.000 0.500 0.500
0.500 0.000 0.500
0.500 0.500 0.000
0.131 0.206 0.325
0.131 0.294 0.825
0.333 0.668 0.621
0.333 0.832 0.121
0.667 0.168 0.879
0.667 0.332 0.379
0.869 0.706 0.175
0.869 0.794 0.675
```

Values from the calculation:
* total magnetization: 5.000 μB per formula unit
* final energy: -4.592 eV/atom
* SG: P2_1/c, No. 14


A plane-wave DFT calculation with PBE+U was carried out for an optimized crystal structure of Mn2HgF6.

POSCAR file:
```
Mn2HgF6
1.0
5.640 0.000 0.000
-2.820 4.885 0.000
0.000 0.000 4.845
Mn Hg F
2 1 6
Direct
0.333 0.667 0.000
0.667 0.333 0.000
0.000 0.000 0.500
0.000 0.350 0.229
0.000 0.650 0.771
0.350 0.000 0.229
0.350 0.350 0.771
0.650 0.000 0.771
0.650 0.650 0.229
```

Values from the calculation:
* total magnetization: 10.000 μB per formula unit
* final energy: -5.187 eV/atom
* SG: P-31m, No. 162


A plane-wave DFT calculation with PBE+U was carried out for an optimized crystal structure of MnHg2F6.

POSCAR file:
```
MnHg2F6
1.0
5.207 0.000 0.000
0.000 5.207 0.000
0.000 0.000 10.762
Mn Hg F
2 4 12
Direct
0.000 0.000 0.000
0.500 0.500 0.500
0.000 0.000 0.334
0.000 0.000 0.666
0.500 0.500 0.166
0.500 0.500 0.834
0.187 0.187 0.154
0.187 0.187 0.846
0.210 0.210 0.500
0.290 0.710 0.000
0.313 0.687 0.346
0.313 0.687 0.654
0.687 0.313 0.346
0.687 0.313 0.654
0.710 0.290 0.000
0.790 0.790 0.500
0.813 0.813 0.154
0.813 0.813 0.846
```

Values from the calculation:
* total magnetization: 5.000 μB per formula unit
* final energy: -3.984 eV/atom
* SG: P4_2/mnm, No. 136


A plane-wave DFT calculation with PBE+U was carried out for an optimized crystal structure of Mn3HgF.

POSCAR file:
```
Mn3HgF
1.0
5.264 0.000 0.000
0.000 5.264 0.000
0.000 0.000 5.264
Mn Hg F
3 1 1
Direct
0.000 0.000 0.500
0.000 0.500 0.000
0.500 0.000 0.000
0.000 0.000 0.000
0.500 0.500 0.500
```

Values from the calculation:
* total magnetization: 14.670 μB per formula unit
* final energy: -4.535 eV/atom
* SG: Pm-3m, No. 221


A plane-wave DFT calculation with PBE+U was carried out for an optimized crystal structure of MnHgF4.

POSCAR file:
```
MnHgF4
1.0
4.418 0.000 0.000
0.000 4.418 0.000
0.000 0.000 11.983
Mn Hg F
2 2 8
Direct
0.000 0.000 0.000
0.000 0.000 0.500
0.000 0.500 0.250
0.500 0.000 0.750
0.230 0.249 0.386
0.230 0.751 0.114
0.249 0.230 0.886
0.249 0.770 0.614
0.751 0.230 0.614
0.751 0.770 0.886
0.770 0.249 0.114
0.770 0.751 0.386
```

Values from the calculation:
* total magnetization: 5.000 μB per formula unit
* final energy: -4.416 eV/atom
* SG: P-42c, No. 112


A plane-wave DFT calculation with PBE+U was carried out for an optimized crystal structure of MnHgNF2.

POSCAR file:
```
MnHgNF2
1.0
4.558 0.000 0.000
0.000 4.558 0.000
0.000 0.000 4.198
Mn Hg N F
1 1 1 2
Direct
0.000 0.000 0.000
0.500 0.500 0.500
0.500 0.500 0.000
0.000 0.500 0.500
0.500 0.000 0.500
```

Values from the calculation:
* total magnetization: 4.389 μB per formula unit
* final energy: -3.933 eV/atom
* SG: P4/mmm, No. 123


A plane-wave DFT calculation with PBE+U was carried out for an optimized crystal structure of MnHgNF2.

POSCAR file:
```
MnHgNF2
1.0
4.027 0.000 0.000
0.000 4.027 0.000
0.000 0.000 4.167
Mn Hg N F
1 1 1 2
Direct
0.000 0.000 0.000
0.500 0.500 0.500
0.000 0.000 0.500
0.000 0.500 0.000
0.500 0.000 0.000
```

Values from the calculation:
* total magnetization: 3.740 μB per formula unit
* final energy: -4.701 eV/atom
* SG: P4/mmm, No. 123


A plane-wave DFT calculation with PBE+U was carried out for an optimized crystal structure of Na2MnHgF8.

POSCAR file:
```
Na2MnHgF8
1.0
4.975 0.000 0.000
-0.244 4.975 0.000
-0.016 -0.007 7.232
Na Mn Hg F
2 1 1 8
Direct
0.000 0.000 0.237
0.000 0.000 0.763
0.500 0.500 0.000
0.500 0.500 0.500
0.200 0.199 0.500
0.233 0.231 0.001
0.319 0.677 0.815
0.321 0.679 0.184
0.679 0.321 0.816
0.681 0.323 0.185
0.767 0.769 0.999
0.800 0.801 0.500
```

Values from the calculation:
* total magnetization: 2.972 μB per formula unit
* final energy: -4.369 eV/atom
* SG: P-1, No. 2


A plane-wave DFT calculation with PBE+U was carried out for an optimized crystal structure of Na2MnHgF6.

POSCAR file:
```
Na2MnHgF6
1.0
2.900 1.674 5.069
-2.900 1.674 5.069
0.000 -3.348 5.069
Na Mn Hg F
2 1 1 6
Direct
0.000 0.000 0.000
0.495 0.495 0.495
0.788 0.788 0.788
0.283 0.283 0.283
0.063 0.682 0.422
0.162 0.594 0.890
0.422 0.063 0.682
0.594 0.890 0.162
0.682 0.422 0.063
0.890 0.162 0.594
```

Values from the calculation:
* total magnetization: 5.000 μB per formula unit
* final energy: -4.504 eV/atom
* SG: R3, No. 146


A plane-wave DFT calculation with PBE+U was carried out for an optimized crystal structure of Na2MnHgF6.

POSCAR file:
```
Na2MnHgF6
1.0
0.000 4.380 4.380
4.380 0.000 4.380
4.380 4.380 0.000
Na Mn Hg F
2 1 1 6
Direct
0.250 0.250 0.250
0.750 0.750 0.750
0.000 0.000 0.000
0.500 0.500 0.500
0.238 0.238 0.762
0.238 0.762 0.238
0.238 0.762 0.762
0.762 0.238 0.238
0.762 0.238 0.762
0.762 0.762 0.238
```

Values from the calculation:
* total magnetization: 5.000 μB per formula unit
* final energy: -4.358 eV/atom
* SG: Fm-3m, No. 225


A plane-wave DFT calculation with PBE+U was carried out for an optimized crystal structure of NaMnHg2F8.

POSCAR file:
```
NaMnHg2F8
1.0
-3.461 3.461 4.051
3.461 -3.461 4.051
3.461 3.461 -4.051
Na Mn Hg F
1 1 2 8
Direct
0.000 0.000 0.000
0.250 0.750 0.500
0.500 0.500 0.000
0.750 0.250 0.500
0.021 0.791 0.230
0.153 0.472 0.681
0.209 0.438 0.230
0.209 0.979 0.770
0.528 0.209 0.681
0.528 0.847 0.319
0.562 0.791 0.770
0.791 0.472 0.319
```

Values from the calculation:
* total magnetization: 4.003 μB per formula unit
* final energy: -3.946 eV/atom
* SG: I-4m2, No. 119


A plane-wave DFT calculation with PBE+U was carried out for an optimized crystal structure of MnHgO2F.

POSCAR file:
```
MnHgO2F
1.0
4.194 0.000 0.000
0.000 4.194 0.000
0.000 0.000 4.459
Mn Hg O F
1 1 2 1
Direct
0.000 0.000 0.000
0.500 0.500 0.500
0.000 0.500 0.500
0.500 0.000 0.500
0.500 0.500 0.000
```

Values from the calculation:
* total magnetization: 5.014 μB per formula unit
* final energy: -4.211 eV/atom
* SG: P4/mmm, No. 123


A plane-wave DFT calculation with PBE+U was carried out for an optimized crystal structure of MnHg3O2F6.

POSCAR file:
```
MnHg3O2F6
1.0
6.305 -3.447 0.000
6.305 3.447 0.000
-1.556 0.000 4.586
Mn Hg O F
1 3 2 6
Direct
0.000 0.000 0.000
0.000 0.500 0.500
0.500 0.000 0.500
0.500 0.500 0.500
0.330 0.330 0.424
0.670 0.670 0.576
0.087 0.087 0.389
0.102 0.715 0.064
0.285 0.898 0.936
0.715 0.102 0.064
0.898 0.285 0.936
0.913 0.913 0.611
```

Values from the calculation:
* total magnetization: 2.997 μB per formula unit
* final energy: -3.896 eV/atom
* SG: C2/m, No. 12


A plane-wave DFT calculation with PBE+U was carried out for an optimized crystal structure of MnHgOF2.

POSCAR file:
```
MnHgOF2
1.0
4.517 0.000 0.000
0.000 4.517 0.000
0.000 0.000 4.264
Mn Hg O F
1 1 1 2
Direct
0.000 0.000 0.000
0.500 0.500 0.500
0.500 0.500 0.000
0.000 0.500 0.500
0.500 0.000 0.500
```

Values from the calculation:
* total magnetization: 5.167 μB per formula unit
* final energy: -3.995 eV/atom
* SG: P4/mmm, No. 123


A plane-wave DFT calculation with PBE+U was carried out for an optimized crystal structure of MnHgOF2.

POSCAR file:
```
MnHgOF2
1.0
4.100 0.000 0.000
0.000 4.100 0.000
0.000 0.000 4.071
Mn Hg O F
1 1 1 2
Direct
0.000 0.000 0.000
0.500 0.500 0.500
0.000 0.000 0.500
0.000 0.500 0.000
0.500 0.000 0.000
```

Values from the calculation:
* total magnetization: 4.390 μB per formula unit
* final energy: -4.758 eV/atom
* SG: P4/mmm, No. 123


A plane-wave DFT calculation with PBE+U was carried out for an optimized crystal structure of MnHgO2F.

POSCAR file:
```
MnHgO2F
1.0
3.938 0.000 0.000
0.000 3.938 0.000
0.000 0.000 3.985
Mn Hg O F
1 1 2 1
Direct
0.000 0.000 0.000
0.500 0.500 0.500
0.000 0.500 0.000
0.500 0.000 0.000
0.000 0.000 0.500
```

Values from the calculation:
* total magnetization: 3.844 μB per formula unit
* final energy: -4.980 eV/atom
* SG: P4/mmm, No. 123


A plane-wave DFT calculation with PBE+U was carried out for an optimized crystal structure of Rb3Mn2HgF9.

POSCAR file:
```
Rb3Mn2HgF9
1.0
6.221 0.000 0.000
-3.111 5.388 0.000
0.000 0.000 7.662
Rb Mn Hg F
3 2 1 9
Direct
0.000 0.000 0.000
0.333 0.667 0.665
0.667 0.333 0.335
0.333 0.667 0.155
0.667 0.333 0.845
0.000 0.000 0.500
0.000 0.500 0.000
0.174 0.348 0.319
0.174 0.826 0.319
0.348 0.174 0.681
0.500 0.000 0.000
0.500 0.500 0.000
0.652 0.826 0.319
0.826 0.174 0.681
0.826 0.652 0.681
```

Values from the calculation:
* total magnetization: 10.000 μB per formula unit
* final energy: -4.842 eV/atom
* SG: P-3m1, No. 164


A plane-wave DFT calculation with PBE+U was carried out for an optimized crystal structure of Rb2MnHgF6.

POSCAR file:
```
Rb2MnHgF6
1.0
0.000 4.459 4.459
4.459 0.000 4.459
4.459 4.459 0.000
Rb Mn Hg F
2 1 1 6
Direct
0.250 0.250 0.250
0.750 0.750 0.750
0.000 0.000 0.000
0.500 0.500 0.500
0.238 0.238 0.762
0.238 0.762 0.238
0.238 0.762 0.762
0.762 0.238 0.238
0.762 0.238 0.762
0.762 0.762 0.238
```

Values from the calculation:
* total magnetization: 5.000 μB per formula unit
* final energy: -4.475 eV/atom
* SG: Fm-3m, No. 225


A plane-wave DFT calculation with PBE+U was carried out for an optimized crystal structure of MnReHg2F.

POSCAR file:
```
MnReHg2F
1.0
4.948 0.000 0.000
0.000 4.948 0.000
0.000 0.000 3.795
Mn Re Hg F
1 1 2 1
Direct
0.000 0.000 0.000
0.500 0.500 0.000
0.000 0.500 0.500
0.500 0.000 0.500
0.000 0.000 0.500
```

Values from the calculation:
* total magnetization: 4.694 μB per formula unit
* final energy: -4.016 eV/atom
* SG: P4/mmm, No. 123


A plane-wave DFT calculation with PBE+U was carried out for an optimized crystal structure of MnHgSF2.

POSCAR file:
```
MnHgSF2
1.0
3.885 0.000 0.000
0.000 3.885 0.000
0.000 0.000 7.321
Mn Hg S F
1 1 1 2
Direct
0.000 0.000 0.000
0.000 0.000 0.500
0.500 0.500 0.500
0.000 0.500 0.000
0.500 0.000 0.000
```

Values from the calculation:
* total magnetization: 4.889 μB per formula unit
* final energy: -4.454 eV/atom
* SG: P4/mmm, No. 123


A plane-wave DFT calculation with PBE+U was carried out for an optimized crystal structure of MnHgSF2.

POSCAR file:
```
MnHgSF2
1.0
3.959 0.000 0.000
0.000 3.959 0.000
0.000 0.000 5.622
Mn Hg S F
1 1 1 2
Direct
0.000 0.000 0.000
0.500 0.500 0.500
0.000 0.000 0.500
0.000 0.500 0.000
0.500 0.000 0.000
```

Values from the calculation:
* total magnetization: 4.707 μB per formula unit
* final energy: -4.593 eV/atom
* SG: P4/mmm, No. 123


A plane-wave DFT calculation with PBE+U was carried out for an optimized crystal structure of MnHg2SeF.

POSCAR file:
```
MnHg2SeF
1.0
5.645 0.000 0.000
0.000 5.645 0.000
0.000 0.000 3.914
Mn Hg Se F
1 2 1 1
Direct
0.000 0.000 0.000
0.000 0.500 0.000
0.500 0.000 0.000
0.500 0.500 0.500
0.000 0.000 0.500
```

Values from the calculation:
* total magnetization: 4.077 μB per formula unit
* final energy: -3.080 eV/atom
* SG: P4/mmm, No. 123